An optimized crystal structure of Rb6Sn. Source: Alexandria, functional PBE-GGA.

Cell lengths 12.055, 12.055, 12.055 Å; angles 90.00, 90.00, 90.00 degrees
Space group Im-3m (No. 229)
One atom of each set of equivalent atoms:
1 Rb 0.000 0.250 0.500 x12
2 Sn 0.000 0.000 0.000 x2

Calculated values
The calculation puts the density of states at the Fermi level at 7.58 states/eV/f.u. The calculation puts the electronic total energy at -5.7 eV per formula unit.

=====

An optimized crystal structure of Rb3Sn5. Source: Alexandria, functional PBE-GGA.

Cell lengths 7.840, 18.244, 9.044 Å; angles 90.00, 94.47, 90.00 degrees
Space group C2/m (No. 12)
One atom of each set of equivalent atoms:
1 Rb 0.000 0.174 0.000 x4
2 Rb 0.000 0.224 0.500 x4
3 Rb 0.105 0.000 0.681 x4
4 Sn 0.088 0.369 0.156 x8
5 Sn 0.148 0.415 0.620 x8
6 Sn 0.181 0.500 0.944 x4

Calculated values
The calculation puts the density of states at the Fermi level at 4.25 states/eV/f.u. The calculation puts the electronic total energy at -24.1 eV per formula unit.

=====

An optimized crystal structure of Rb2Sn3. Source: Alexandria, functional PBE-GGA.

Cell lengths 6.396, 13.547, 9.107 Å; angles 90.00, 90.00, 90.00 degrees
Space group Cmce (No. 64)
One atom of each set of equivalent atoms:
1 Rb 0.000 0.158 0.112 x8
2 Sn 0.000 0.000 0.500 x4
3 Sn 0.250 0.095 0.750 x8

Calculated values
The calculation puts the density of states at the Fermi level at 2.82 states/eV/f.u. The calculation puts the electronic total energy at -14.7 eV per formula unit.

=====

For reference, energy relative to the elements by record: 581, -148, -148 meV/atom.